A relaxed structure of FeCuOs2. Source: the Alexandria database, functional PBE.

a = 4.9267 Å, b = 4.9267 Å, c = 4.9267 Å
α = 144.95°, β = 129.89°, γ = 62.62°
Closest atoms and distances in Å follow each position.
Positions (direct):
Fe 0.0000 0.0000 0.0000  2 Cu 2.46, 6 Os 2.56-2.57
Cu 0.7669 0.2669 0.5000  2 Fe 2.46, 6 Os 2.56-2.61
Os 0.2499 0.7499 0.5000  4 Cu 2.56, 2 Fe 2.57, 2 Os 2.66
Os 0.5120 0.5120 0.0000  4 Fe 2.56, 2 Cu 2.61, 2 Os 2.66

Output
* formation energy from the elements: 1.31 eV per formula unit
* symmetry: Imm2, No. 44
* raw total energy: -33.7 eV for the cell shown



A relaxed structure of TlCo3B. Source: the Alexandria database, functional PBE.

a = 4.8172 Å, b = 4.8172 Å, c = 4.8172 Å
α = 90.00°, β = 90.00°, γ = 90.00°
Closest atoms and distances in Å follow each position.
Positions (direct):
Tl 0.0000 0.0000 0.0000  6 Co 2.41
Co 0.0000 0.0000 0.5000  2 Tl 2.41
Co 0.0000 0.5000 0.0000  2 Tl 2.41
Co 0.5000 0.0000 0.0000  2 Tl 2.41
B 0.5000 0.5000 0.5000  12 Co 3.41

Output
* formation energy from the elements: 12.83 eV per formula unit
* symmetry: Pm-3m, No. 221
* raw total energy: -17.5 eV for the cell shown



A relaxed structure of NaMnHg2. Source: the Alexandria database, functional PBE.

a = 10.1509 Å, b = 10.1509 Å, c = 10.1509 Å
α = 153.61°, β = 153.61°, γ = 37.67°
Closest atoms and distances in Å follow each position.
Positions (direct):
Na 0.0000 0.0000 0.0000  4 Hg 2.97, 4 Mn 3.28
Na 0.7500 0.2500 0.5000  4 Hg 2.97, 4 Mn 3.28
Mn 0.2500 0.7500 0.5000  4 Hg 2.86
Mn 0.5000 0.5000 0.0000  4 Hg 2.86
Hg 0.1547 0.6250 0.0297  2 Mn 2.86, 2 Na 2.97, 2 Hg 3.09
Hg 0.3750 0.4047 0.5297  2 Mn 2.86, 2 Na 2.97, 2 Hg 3.09
Hg 0.5953 0.1250 0.9703  2 Mn 2.86, 2 Na 2.97, 2 Hg 3.09
Hg 0.8750 0.8453 0.4703  2 Mn 2.86, 2 Na 2.97, 2 Hg 3.09

Output
* formation energy from the elements: 1.45 eV per formula unit
* symmetry: I-42d, No. 122
* raw total energy: -19.3 eV for the cell shown